A plane-wave DFT calculation with PBE was carried out for Ta2PdPt7 after structural relaxation.

abc: 3.9994 7.7885 7.7885
angles: 124.64 90.00 90.00
Fractional positions:
Pt 0.5000 0.5000 0.5000
Pt 0.5000 0.0880 0.2982
Pt 0.0000 0.8062 0.1938
Pt 0.0000 0.1938 0.8062
Pt 0.5000 0.7018 0.9120
Pt 0.5000 0.9120 0.7018
Pt 0.5000 0.2982 0.0880
Pd 0.0000 0.0000 0.0000
Ta 0.5000 0.6949 0.3051
Ta 0.5000 0.3051 0.6949

crystal system: orthorhombic
raw total energy: -7.082 eV per atom